Material: TbPrPt3
Method: DFT, GGA-PBE
State: optimized geometry

abc: 13.6734 13.6734 4.2903
angles: 90.00 90.00 163.52
With the nearest neighbours (Å) after each atom.
Fractional positions:
Tb  0.2066  0.7934  0.7500  7 Pt 2.89-2.96
Tb  0.7934  0.2066  0.2500  7 Pt 2.89-2.96
Pr  0.0742  0.9258  0.2500  10 Pt 3.16-3.39
Pr  0.9258  0.0742  0.7500  10 Pt 3.16-3.39
Pt  0.3133  0.6867  0.7500  2 Pt 2.72, 5 Tb 2.89-2.95
Pt  0.3753  0.6247  0.2500  3 Pt 2.61-2.72
Pt  0.4719  0.5281  0.2500  3 Pt 2.61-2.63
Pt  0.5281  0.4719  0.7500  3 Pt 2.61-2.63
Pt  0.6247  0.3753  0.7500  3 Pt 2.61-2.72
Pt  0.6867  0.3133  0.2500  2 Pt 2.72, 5 Tb 2.89-2.95

SG: Cmcm (63)
magnetic moment: 0.000 μB per cell
formation energy: -1091 meV per atom

Material: Ca3SnSe
Method: DFT, GGA-PBE
State: optimized geometry

abc: 5.4636 5.4636 5.4636
angles: 90.00 90.00 90.00
With the nearest neighbours (Å) after each atom.
Fractional positions:
Ca  0.0000  0.0000  0.5000  2 Se 2.73
Ca  0.0000  0.5000  0.0000  2 Se 2.73
Ca  0.5000  0.0000  0.0000  2 Se 2.73
Sn  0.5000  0.5000  0.5000  12 Ca 3.86
Se  0.0000  0.0000  0.0000  6 Ca 2.73

SG: Pm-3m (221)
magnetic moment: 0.000 μB per cell
uncorrected formation energy: -0.945 eV per atom
energy relative to the lowest polymorph listed for this composition: 0.0 kJ/mol of atoms

Material: Sr2TaIr2
Method: DFT, GGA-PBE
State: optimized geometry

abc: 6.7941 6.7941 5.1514
angles: 90.00 90.00 90.00
With the nearest neighbours (Å) after each atom.
Fractional positions:
Sr  0.1778  0.3222  0.0000  6 Ir 3.16-3.34, 5 Sr 3.42-3.54
Sr  0.3222  0.8222  0.0000  6 Ir 3.16-3.34, 5 Sr 3.42-3.54
Sr  0.6778  0.1778  0.0000  6 Ir 3.16-3.34, 5 Sr 3.42-3.54
Sr  0.8222  0.6778  0.0000  6 Ir 3.16-3.34, 5 Sr 3.42-3.54
Ta  0.0000  0.0000  0.5000  4 Ir 2.66
Ta  0.5000  0.5000  0.5000  4 Ir 2.66
Ir  0.1316  0.6316  0.5000  1 Ir 2.53, 2 Ta 2.66
Ir  0.3684  0.1316  0.5000  1 Ir 2.53, 2 Ta 2.66
Ir  0.6316  0.8684  0.5000  1 Ir 2.53, 2 Ta 2.66
Ir  0.8684  0.3684  0.5000  1 Ir 2.53, 2 Ta 2.66

SG: P4/mbm (127)
magnetic moment: 0.000 μB per cell
energy relative to the lowest polymorph listed for this composition: 0.0 kJ/mol of atoms
formation energy: -105 meV per atom

Material: Sc2TeI
Method: DFT, GGA-PBE
State: optimized geometry

abc: 4.0839 4.0839 26.2990
angles: 90.00 90.00 120.00
With the nearest neighbours (Å) after each atom.
Fractional positions:
Sc  0.0000  0.0000  0.1050  1 I 2.76, 3 Te 2.86
Sc  0.0000  0.0000  0.8950  1 I 2.76, 3 Te 2.86
Sc  0.3333  0.6667  0.5617  1 I 2.76, 3 Te 2.86
Sc  0.3333  0.6667  0.7717  1 I 2.76, 3 Te 2.86
Sc  0.6667  0.3333  0.2283  1 I 2.76, 3 Te 2.86
Sc  0.6667  0.3333  0.4383  1 I 2.76, 3 Te 2.86
Te  0.0000  0.0000  0.5000  6 Sc 2.86
Te  0.3333  0.6667  0.1667  6 Sc 2.86
Te  0.6667  0.3333  0.8333  6 Sc 2.86
I  0.0000  0.0000  0.0000  2 Sc 2.76
I  0.3333  0.6667  0.6667  2 Sc 2.76
I  0.6667  0.3333  0.3333  2 Sc 2.76

SG: R-3m (166)
magnetic moment: 2.685 μB per cell
uncorrected formation energy: -0.651 eV per atom
energy relative to the lowest polymorph listed for this composition: 12.9 kJ/mol of atoms

Material: TbPm6Er3Tm2
Method: DFT, GGA-PBE
State: optimized geometry

abc: 6.2145 6.2145 11.7539
angles: 95.04 95.04 119.99
With the nearest neighbours (Å) after each atom.
Fractional positions:
Tb  0.0000  0.0000  0.0000  6 Pm 3.56, 6 Tm 3.59
Pm  0.0839  0.4176  0.2502  3 Er 3.55-3.56, 2 Tm 3.56, 1 Tb 3.56, 6 Pm 3.59
Pm  0.2498  0.2498  0.7499  1 Tb 3.56, 3 Er 3.56, 2 Tm 3.56, 6 Pm 3.59
Pm  0.4176  0.0839  0.2502  3 Er 3.55-3.56, 2 Tm 3.56, 1 Tb 3.56, 6 Pm 3.59
Pm  0.5824  0.9161  0.7498  3 Er 3.55-3.56, 2 Tm 3.56, 1 Tb 3.56, 6 Pm 3.59
Pm  0.7502  0.7502  0.2501  1 Tb 3.56, 3 Er 3.56, 2 Tm 3.56, 6 Pm 3.59
Pm  0.9161  0.5824  0.7498  3 Er 3.55-3.56, 2 Tm 3.56, 1 Tb 3.56, 6 Pm 3.59
Er  0.1668  0.8332  0.5000  6 Pm 3.55-3.56, 6 Er 3.59
Er  0.5000  0.5000  0.5000  6 Pm 3.56, 6 Er 3.59
Er  0.8332  0.1668  0.5000  6 Pm 3.55-3.56, 6 Er 3.59
Tm  0.3334  0.6666  0.0000  6 Pm 3.56, 3 Tm 3.59, 3 Tb 3.59
Tm  0.6666  0.3334  0.0000  6 Pm 3.56, 3 Tm 3.59, 3 Tb 3.59

SG: C2/m (12)
magnetic moment: 0.001 μB per cell
formation energy: 14 meV per atom

Material: K2LaSnTe4
Method: DFT, GGA-PBE
State: optimized geometry

abc: 8.0659 4.5704 8.6873
angles: 90.00 107.57 90.00
With the nearest neighbours (Å) after each atom.
Fractional positions:
K  0.0000  0.0000  0.0000  6 Te 3.62
K  0.5000  0.5000  0.0000  6 Te 3.54-3.55
La  0.0000  0.5000  0.5000  6 Te 3.22-3.24
Sn  0.5000  0.0000  0.5000  6 Te 3.14-3.15
Te  0.2464  0.0000  0.7135  1 Sn 3.15, 2 La 3.22
Te  0.2729  0.5000  0.2921  2 Sn 3.14, 1 La 3.24
Te  0.7271  0.5000  0.7079  2 Sn 3.14, 1 La 3.24
Te  0.7536  0.0000  0.2865  1 Sn 3.15, 2 La 3.22

SG: P2/m (10)
magnetic moment: 0.000 μB per cell
uncorrected formation energy: -0.997 eV per atom

Material: Tl5Sn2Cl12
Method: DFT, GGA-PBE
State: optimized geometry

abc: 9.4774 9.4774 10.4318
angles: 103.68 103.68 50.28
With the nearest neighbours (Å) after each atom.
Fractional positions:
Tl  0.0000  0.0000  0.0000  6 Cl 3.18-3.50
Tl  0.2873  0.2873  0.1279  4 Cl 3.10-3.18
Tl  0.3132  0.3132  0.7278  2 Cl 2.93
Tl  0.6868  0.6868  0.2722  2 Cl 2.93
Tl  0.7127  0.7127  0.8721  4 Cl 3.10-3.18
Sn  0.2491  0.7509  0.5000  6 Cl 2.45-2.66
Sn  0.7509  0.2491  0.5000  6 Cl 2.45-2.66
Cl  0.0080  0.0080  0.6681  2 Sn 2.64
Cl  0.1048  0.6006  0.4537  1 Sn 2.45
Cl  0.1076  0.5989  0.9420  4 Tl 2.93-3.18
Cl  0.3994  0.8952  0.5463  1 Sn 2.45
Cl  0.4011  0.8924  0.0580  4 Tl 2.93-3.18
Cl  0.4934  0.4934  0.3317  2 Sn 2.66
Cl  0.5066  0.5066  0.6683  2 Sn 2.66
Cl  0.5989  0.1076  0.9420  4 Tl 2.93-3.18
Cl  0.6006  0.1048  0.4537  1 Sn 2.45
Cl  0.8924  0.4011  0.0580  4 Tl 2.93-3.18
Cl  0.8952  0.3994  0.5463  1 Sn 2.45
Cl  0.9920  0.9920  0.3319  2 Sn 2.64

SG: C2/m (12)
magnetic moment: 0.000 μB per cell
uncorrected formation energy: -0.917 eV per atom

Material: DyMgCdGe
Method: DFT, GGA-PBE
State: optimized geometry

abc: 7.0867 7.0867 7.0867
angles: 90.00 90.00 90.00
With the nearest neighbours (Å) after each atom.
Fractional positions:
Dy  0.0000  0.0000  0.0000  4 Cd 3.07, 4 Ge 3.07
Dy  0.0000  0.5000  0.5000  4 Cd 3.07, 4 Ge 3.07
Dy  0.5000  0.0000  0.5000  4 Cd 3.07, 4 Ge 3.07
Dy  0.5000  0.5000  0.0000  4 Ge 3.07, 4 Cd 3.07
Mg  0.0000  0.0000  0.5000  4 Ge 3.07, 4 Cd 3.07
Mg  0.0000  0.5000  0.0000  4 Ge 3.07, 4 Cd 3.07
Mg  0.5000  0.0000  0.0000  4 Ge 3.07, 4 Cd 3.07
Mg  0.5000  0.5000  0.5000  4 Ge 3.07, 4 Cd 3.07
Cd  0.2500  0.2500  0.7500  4 Dy 3.07, 4 Mg 3.07
Cd  0.2500  0.7500  0.2500  4 Dy 3.07, 4 Mg 3.07
Cd  0.7500  0.2500  0.2500  4 Dy 3.07, 4 Mg 3.07
Cd  0.7500  0.7500  0.7500  4 Dy 3.07, 4 Mg 3.07
Ge  0.2500  0.2500  0.2500  4 Dy 3.07, 4 Mg 3.07
Ge  0.2500  0.7500  0.7500  4 Dy 3.07, 4 Mg 3.07
Ge  0.7500  0.2500  0.7500  4 Dy 3.07, 4 Mg 3.07
Ge  0.7500  0.7500  0.2500  4 Dy 3.07, 4 Mg 3.07

SG: F-43m (216)
magnetic moment: 0.000 μB per cell
formation energy: -289 meV per atom

Material: TmTc4Ge4
Method: DFT, GGA-PBE
State: optimized geometry

abc: 8.2177 8.2177 4.7859
angles: 90.00 90.00 90.00
With the nearest neighbours (Å) after each atom.
Fractional positions:
Tm  0.2500  0.2500  0.2500  4 Tc 3.16, 8 Ge 3.32-3.44
Tm  0.7500  0.7500  0.7500  4 Tc 3.16, 8 Ge 3.32-3.44
Tc  0.1166  0.8554  0.6679  5 Ge 2.45-2.64
Tc  0.1446  0.6166  0.1679  5 Ge 2.45-2.64
Tc  0.3554  0.8834  0.1679  5 Ge 2.45-2.64
Tc  0.3834  0.6446  0.6679  5 Ge 2.45-2.64
Tc  0.6166  0.3554  0.3321  5 Ge 2.45-2.64
Tc  0.6446  0.1166  0.8321  5 Ge 2.45-2.64
Tc  0.8554  0.3834  0.8321  5 Ge 2.45-2.64
Tc  0.8834  0.1446  0.3321  5 Ge 2.45-2.64
Ge  0.0344  0.8937  0.1767  5 Tc 2.45-2.64, 1 Ge 2.50
Ge  0.1063  0.5344  0.6767  5 Tc 2.45-2.64, 1 Ge 2.50
Ge  0.3937  0.9656  0.6767  5 Tc 2.45-2.64, 1 Ge 2.50
Ge  0.4656  0.6063  0.1767  5 Tc 2.45-2.64, 1 Ge 2.50
Ge  0.5344  0.3937  0.8233  5 Tc 2.45-2.64, 1 Ge 2.50
Ge  0.6063  0.0344  0.3233  5 Tc 2.45-2.64, 1 Ge 2.50
Ge  0.8937  0.4656  0.3233  5 Tc 2.45-2.64, 1 Ge 2.50
Ge  0.9656  0.1063  0.8233  5 Tc 2.45-2.64, 1 Ge 2.50

SG: P4_2/n (86)
magnetic moment: 0.000 μB per cell
formation energy: -114 meV per atom

Material: Cs2Hg3Sb
Method: DFT, GGA-PBE
State: optimized geometry

abc: 10.5685 10.5423 7.4765
angles: 69.45 69.07 41.48
With the nearest neighbours (Å) after each atom.
Fractional positions:
Cs  0.2331  0.7669  0.2331  10 Hg 3.97-4.12, 2 Sb 4.12
Cs  0.2500  0.2500  0.2500  8 Hg 4.00-4.03, 4 Sb 4.06
Cs  0.7500  0.7500  0.7500  8 Hg 4.00-4.03, 4 Sb 4.06
Cs  0.7669  0.2331  0.7669  10 Hg 3.97-4.12, 2 Sb 4.12
Hg  0.1715  0.1715  0.8285  1 Sb 3.01, 2 Hg 3.13
Hg  0.1722  0.6590  0.8278  1 Sb 2.94, 2 Hg 3.08-3.13
Hg  0.3410  0.8278  0.6590  1 Sb 2.94, 2 Hg 3.08-3.13
Hg  0.6590  0.1722  0.3410  1 Sb 2.94, 2 Hg 3.08-3.13
Hg  0.8278  0.3410  0.1722  1 Sb 2.94, 2 Hg 3.08-3.13
Hg  0.8285  0.8285  0.1715  1 Sb 3.01, 2 Hg 3.13
Sb  0.3363  0.3363  0.6637  3 Hg 2.94-3.01
Sb  0.6637  0.6637  0.3363  3 Hg 2.94-3.01

SG: Fmmm (69)
magnetic moment: 0.000 μB per cell
uncorrected formation energy: -0.317 eV per atom

Material: CaMg3Cl
Method: DFT, GGA-PBE
State: optimized geometry

abc: 6.3830 6.3830 6.3830
angles: 90.00 90.00 90.00
With the nearest neighbours (Å) after each atom.
Fractional positions:
Ca  0.0000  0.0000  0.0000  6 Mg 3.19
Mg  0.0000  0.0000  0.5000  2 Ca 3.19
Mg  0.0000  0.5000  0.0000  2 Ca 3.19
Mg  0.5000  0.0000  0.0000  2 Ca 3.19
Cl  0.5000  0.5000  0.5000  12 Mg 4.51

SG: Pm-3m (221)
magnetic moment: 0.000 μB per cell
uncorrected formation energy: 0.514 eV per atom
energy relative to the lowest polymorph listed for this composition: 57.2 kJ/mol of atoms